Entry 1:
# Tb3ThMg4

A geometry-optimized Tb3ThMg4 structure (PBE-GGA, Alexandria via LeMat-Bulk).

The space group is Pmmm (No. 47) and the conventional cell measures 3.811, 5.389 and 10.766 Å, with angles of 90.00, 90.00 and 90.00 degrees. The asymmetric unit holds Tb at (0.000, 0.000, 0.000), Tb at (0.000, 0.500, 0.253), Th at (0.000, 0.000, 0.500), Mg at (0.500, 0.000, 0.245), Mg at (0.500, 0.500, 0.000) and Mg at (0.500, 0.500, 0.500).

The formation energy is -0.043 eV per atom. The calculation puts the density of states at the Fermi level at 8.88 states/eV per cell. As for the total energy: -3.504 eV/atom.



Entry 2:
# ScZn2Ru

A geometry-optimized ScZn2Ru structure (PBE-GGA, Alexandria via LeMat-Bulk).

The space group is F-43m (No. 216) and the conventional cell measures 6.315, 6.315 and 6.315 Å, with angles of 90.00, 90.00 and 90.00 degrees. The asymmetric unit holds Sc at (0.000, 0.000, 0.000), Zn at (0.000, 0.000, 0.500), Zn at (0.250, 0.250, 0.750) and Ru at (0.250, 0.250, 0.250).

The formation energy is -0.216 eV per atom. The calculation puts the density of states at the Fermi level at 11.41 states/eV per cell. As for the total energy: -4.755 eV/atom.



Entry 3:
# KB

A geometry-optimized KB structure (PBE-GGA, Alexandria via LeMat-Bulk).

The space group is F-43m (No. 216) and the conventional cell measures 7.171, 7.171 and 7.171 Å, with angles of 90.00, 90.00 and 90.00 degrees. The asymmetric unit holds K at (0.000, 0.000, 0.000) and B at (0.250, 0.250, 0.250).

The formation energy is 2.293 eV per atom. As for the polymorph energy (0 for the lowest one): 4.095 eV per formula unit. The calculation puts the density of states at the Fermi level at 19.02 states/eV per cell. As for the total energy: -1.595 eV/atom.



Entry 4:
# CoC3Br

A geometry-optimized CoC3Br structure (PBE-GGA, Alexandria via LeMat-Bulk).

The space group is Pm-3m (No. 221) and the conventional cell measures 3.832, 3.832 and 3.832 Å, with angles of 90.00, 90.00 and 90.00 degrees. The asymmetric unit holds Co at (0.000, 0.000, 0.000), C at (0.000, 0.500, 0.500) and Br at (0.500, 0.500, 0.500).

As for the polymorph energy (0 for the lowest one): 7.006 eV per formula unit. The calculation puts the density of states at the Fermi level at 3.63 states/eV per cell. The formation energy from raw total energies comes out at 3.74 eV/atom. As for the total energy: -3.549 eV/atom.



Entry 5:
# Na2SnAu2

A geometry-optimized Na2SnAu2 structure (PBE-GGA, Alexandria via LeMat-Bulk).

The space group is P4/mbm (No. 127) and the conventional cell measures 7.369, 7.369 and 4.352 Å, with angles of 90.00, 90.00 and 90.00 degrees. The asymmetric unit holds Na at (0.164, 0.336, 0.000), Sn at (0.000, 0.000, 0.500) and Au at (0.138, 0.638, 0.500).

The formation energy is -0.285 eV per atom. As for the polymorph energy (0 for the lowest one): 0.285 eV per formula unit. The calculation puts the density of states at the Fermi level at 3.00 states/eV per cell. As for the total energy: -2.924 eV/atom.



Entry 6:
# Ba2Sr3Ca8

A geometry-optimized Ba2Sr3Ca8 structure (PBE-GGA, Alexandria via LeMat-Bulk).

The space group is C2/m (No. 12) and the conventional cell measures 14.741, 13.277 and 6.979 Å, with angles of 90.00, 114.18 and 90.00 degrees. The asymmetric unit holds Ba at (0.071, 0.000, 0.280), Sr at (0.000, 0.254, 0.500), Sr at (0.000, 0.500, 0.000), Ca at (0.153, 0.500, 0.580), Ca at (0.178, 0.251, 0.178) and Ca at (0.209, 0.000, 0.860).

The formation energy is 0.108 eV per atom. As for the polymorph energy (0 for the lowest one): 0.000 eV per formula unit. The calculation puts the density of states at the Fermi level at 35.67 states/eV per cell. As for the total energy: -1.807 eV/atom.



Please write out number 1 again, unchanged.
# Tb3ThMg4

A geometry-optimized Tb3ThMg4 structure (PBE-GGA, Alexandria via LeMat-Bulk).

The space group is Pmmm (No. 47) and the conventional cell measures 3.811, 5.389 and 10.766 Å, with angles of 90.00, 90.00 and 90.00 degrees. The asymmetric unit holds Tb at (0.000, 0.000, 0.000), Tb at (0.000, 0.500, 0.253), Th at (0.000, 0.000, 0.500), Mg at (0.500, 0.000, 0.245), Mg at (0.500, 0.500, 0.000) and Mg at (0.500, 0.500, 0.500).

The formation energy is -0.043 eV per atom. The calculation puts the density of states at the Fermi level at 8.88 states/eV per cell. As for the total energy: -3.504 eV/atom.



Number 1 is which compound?
Tb3ThMg4